1.
Here is YCoAs2O8 after structural relaxation from Alexandria. Energies are from PBE+U.

Geometry as POSCAR:
```
YCoAs2O8
1.0
-3.5095 3.5095 3.0858
3.5095 -3.5095 3.0858
3.5095 3.5095 -3.0858
Y Co As O
1 1 2 8
Cartesian
0.0000 0.0000 0.0000
0.0000 3.5095 1.5429
3.5095 0.0000 1.5429
0.0000 0.0000 3.0858
2.2762 0.0000 0.3480
4.7428 0.0000 0.3480
3.5095 2.1968 -1.1215
3.5095 -1.2333 2.7378
0.0000 1.3127 1.9643
3.5095 1.2333 2.7378
2.1968 3.5095 1.1215
1.3127 0.0000 4.2073
```

As for the space-group type: No. 119.

=====

2.
Here is ZnCoAs2O8 after structural relaxation from Alexandria. Energies are from PBE+U.

Geometry as POSCAR:
```
ZnCoAs2O8
1.0
-3.2965 3.2965 3.1344
3.2965 -3.2965 3.1344
3.2965 3.2965 -3.1344
Zn Co As O
1 1 2 8
Cartesian
0.0000 0.0000 0.0000
0.0000 3.2965 1.5672
3.2965 0.0000 1.5672
0.0000 0.0000 3.1344
2.0591 0.0000 0.3719
4.5340 0.0000 0.3719
3.2965 2.0123 -1.1579
3.2965 -1.2374 2.7625
0.0000 1.2842 1.9765
3.2965 1.2374 2.7625
2.0123 3.2965 1.1579
1.2842 0.0000 4.2923
```

As for the space-group type: No. 119. The density of states at the Fermi level is 0.17 states/eV per cell.

=====

3.
Here is ZrCoAs2O8 after structural relaxation from Alexandria. Energies are from PBE+U.

Geometry as POSCAR:
```
ZrCoAs2O8
1.0
5.5722 0.0000 0.0000
-2.7861 4.8256 0.0000
0.0000 0.0000 5.9677
Zr Co As O
1 1 2 8
Cartesian
0.0000 0.0000 0.0000
0.0000 0.0000 2.9838
0.0000 3.2171 3.9671
2.7861 1.6085 2.0006
0.0000 1.5800 4.5845
-1.4178 4.0357 4.5845
1.3683 0.7900 1.3831
0.0000 3.2171 2.3211
2.7861 1.6085 3.6466
1.4178 4.0357 4.5845
4.2039 0.7900 1.3831
2.7861 3.2457 1.3831
```

As for the space-group type: No. 164. The density of states at the Fermi level is 6.95 states/eV per cell.

=====

4.
Here is ZrCoAs2O after structural relaxation from Alexandria. Energies are from PBE+U.

Geometry as POSCAR:
```
ZrCoAs2O
1.0
4.6891 0.0000 0.0000
0.0000 4.6891 0.0000
0.0000 0.0000 3.6468
Zr Co As O
1 1 2 1
Cartesian
0.0000 0.0000 0.0000
2.3446 2.3446 0.0000
0.0000 2.3446 1.8234
2.3446 0.0000 1.8234
2.3446 2.3446 1.8234
```

As for the space-group type: No. 123. The density of states at the Fermi level is 2.75 states/eV per cell.

=====

no.,E_tot (eV/atom),magnetic moment (Bohr magnetons per cell)
1,-6.612,4.04
2,-5.472,5.00
3,-6.711,3.00
4,-5.826,2.45